! Nd3Sm2Dy6 | Alexandria via LeMat-Bulk | PBE-GGA | optimized geometry; values from VASP
! * Fermi-level density of states: 15.54 states/eV/f.u.
! * total DFT energy (no corrections): -0.1620 hartree per atom
! * space group: I4/mmm
! * crystal system: tetragonal
! * ΔH_f (0 K): 0.261 eV per atom
! * magnetic moment: 0.0 μB per formula unit
&SYSTEM
  ibrav = 0, nat = 11, ntyp = 3
/
ATOMIC_SPECIES
Nd 144.24 Nd.upf
Sm 150.36 Sm.upf
Dy 162.50 Dy.upf
ATOMIC_POSITIONS crystal
Nd 0.000 0.000 0.000
Nd 0.203 0.203 0.000
Nd 0.797 0.797 0.000
Sm 0.454 0.454 0.000
Sm 0.546 0.546 0.000
Dy 0.120 0.620 0.500
Dy 0.307 0.307 0.000
Dy 0.380 0.880 0.500
Dy 0.620 0.120 0.500
Dy 0.693 0.693 0.000
Dy 0.880 0.380 0.500
CELL_PARAMETERS angstrom
-2.391 2.391 16.638
2.391 -2.391 16.638
2.391 2.391 -16.638